DFT (meta-GGA SCAN) results for a crystal of KBeGeP2 relaxed with PBEsol.

Cell and atoms, written as POSCAR:
```
KBeGeP2
1.0
-0.648 -2.290 -4.132
4.189 -2.767 0.876
-2.819 -3.511 2.388
P Ge K Be
2 1 1 1
direct
0.000 0.000 0.500 P
0.000 0.500 0.000 P
0.500 0.500 0.500 Ge
0.000 0.000 0.000 K
0.500 0.000 0.000 Be
```

Properties
Energy relative to the elements   2176 meV/atom
Symmetry   P4/mmm

---

DFT (meta-GGA SCAN) results for a crystal of AgAsSe2 relaxed with PBEsol.

Cell and atoms, written as POSCAR:
```
AgAsSe2
1.0
-2.240 -2.694 1.641
1.373 -2.146 2.912
-2.405 2.680 5.679
As Ag Se
1 1 2
direct
0.500 0.500 0.500 As
0.000 0.000 0.000 Ag
0.753 0.753 0.742 Se
0.247 0.247 0.258 Se
```

Properties
Formation energy from raw total energies   -0.10 eV per atom
Symmetry   R-3m

---

DFT (meta-GGA SCAN) results for a crystal of CaMg2Re relaxed with PBEsol.

Cell and atoms, written as POSCAR:
```
CaMg2Re
1.0
2.966 0.000 0.000
0.000 5.152 0.000
0.000 0.000 5.234
Ca Mg Re
1 2 1
direct
0.000 0.500 0.500 Ca
0.000 0.000 0.000 Mg
0.500 0.500 0.000 Mg
0.500 0.000 0.500 Re
```

Properties
Energy above the lowest structure with this stoichiometry   0.44 eV per formula unit
Energy relative to the elements   645 meV/atom
Symmetry   Pmmm

---

Going through the records in order, we get total magnetization values of 0.0, 0.0, 0.0 Bohr magnetons per cell.